An optimized crystal structure of MnVSnF6. Source: the Alexandria database, functional PBE with a Hubbard U.

Unit cell a=5.6179 b=5.6179 c=10.2111 alpha=90.00 beta=90.00 gamma=120.00
Positions (direct):
Mn (0.3333, 0.6667, 0.2500)
Mn (0.6667, 0.3333, 0.7500)
V (0.3333, 0.6667, 0.7500)
V (0.6667, 0.3333, 0.2500)
Sn (0.0000, 0.0000, 0.0000)
Sn (0.0000, 0.0000, 0.5000)
F (0.0029, 0.3552, 0.6395)
F (0.0029, 0.6478, 0.8605)
F (0.3522, 0.3552, 0.8605)
F (0.3522, 0.9971, 0.6395)
F (0.3552, 0.0029, 0.1395)
F (0.3552, 0.3522, 0.3605)
F (0.6448, 0.6478, 0.6395)
F (0.6448, 0.9971, 0.8605)
F (0.6478, 0.0029, 0.3605)
F (0.6478, 0.6448, 0.1395)
F (0.9971, 0.3522, 0.1395)
F (0.9971, 0.6448, 0.3605)

Values from the calculation:
The spin magnetization comes out at 8.00 μB per formula unit. Its space group is P-31c (163). As for the final energy: -5.870 eV per atom.